Entry 1:
A plane-wave DFT calculation with PBE was carried out for La6FeIr2Br3 after structural relaxation.

D(E_F) ... 4.29 states/eV/f.u.
SG ... No. 12
Formation energy from raw total energies ... -1.03 eV per atom
Total DFT energy (no corrections) ... -73.116 eV for the cell shown

Lattice parameters (Å, degrees): 7.204 7.204 8.255 98.33 98.33 120.02
Fractional coordinates of all 12 atoms:
Fe 0.000 0.000 0.000
La 0.614 0.935 0.806
La 0.743 0.743 0.194
La 0.386 0.065 0.194
La 0.257 0.257 0.806
La 0.065 0.386 0.194
La 0.935 0.614 0.806
Br 0.165 0.835 0.500
Br 0.835 0.165 0.500
Br 0.500 0.500 0.500
Ir 0.333 0.667 0.000
Ir 0.667 0.333 0.000

***

Entry 2:
A plane-wave DFT calculation with PBE was carried out for PuPa2ReN5 after structural relaxation.

D(E_F) ... 10.13 states/eV/f.u.
SG ... No. 140
Formation energy from raw total energies ... -1.07 eV per atom
Total DFT energy (no corrections) ... -194.071 eV for the cell shown

Lattice parameters (Å, degrees): 6.551 6.551 7.417 116.21 116.21 90.00
Fractional coordinates of all 18 atoms:
N 0.483 0.287 0.271
N 0.713 0.213 0.729
N 0.983 0.483 0.271
N 0.017 0.517 0.729
N 0.517 0.713 0.729
N 0.287 0.787 0.271
N 0.500 0.500 0.000
N 0.000 0.000 0.000
N 0.213 0.017 0.729
N 0.787 0.983 0.271
Re 0.750 0.250 0.500
Re 0.250 0.750 0.500
Pa 0.324 0.824 0.000
Pa 0.176 0.324 0.000
Pa 0.676 0.176 0.000
Pa 0.824 0.676 0.000
Pu 0.750 0.750 0.500
Pu 0.250 0.250 0.500

***

Entry 3:
A plane-wave DFT calculation with PBE was carried out for Er3GaRu3 after structural relaxation.

D(E_F) ... 4.81 states/eV/f.u.
Calculated formation energy ... -0.477 eV/atom
SG ... No. 63
Total DFT energy (no corrections) ... -95.762 eV for the cell shown

Lattice parameters (Å, degrees): 4.155 5.542 13.345 90.00 90.00 112.01
Fractional coordinates of all 14 atoms:
Er 0.487 0.974 0.750
Er 0.800 0.600 0.105
Er 0.513 0.026 0.250
Er 0.800 0.600 0.395
Er 0.200 0.400 0.605
Er 0.200 0.400 0.895
Ru 0.088 0.176 0.094
Ru 0.912 0.824 0.594
Ru 0.778 0.555 0.750
Ru 0.222 0.445 0.250
Ru 0.088 0.176 0.406
Ru 0.912 0.824 0.906
Ga 0.500 0.000 0.000
Ga 0.500 0.000 0.500

***

Entry 4:
A plane-wave DFT calculation with PBE was carried out for Pu3Ge2Ir after structural relaxation.

D(E_F) ... 18.71 states/eV/f.u.
Calculated formation energy ... -0.142 eV/atom
SG ... No. 12
Distance to the lowest polymorph of the same formula ... 323 meV per atom
Total DFT energy (no corrections) ... -123.888 eV for the cell shown

Lattice parameters (Å, degrees): 3.863 9.369 7.119 90.99 74.26 78.10
Fractional coordinates of all 12 atoms:
Pu 0.313 0.364 0.010
Pu 0.687 0.636 0.990
Pu 0.286 0.124 0.303
Pu 0.944 0.172 0.940
Pu 0.714 0.876 0.697
Pu 0.056 0.828 0.060
Ge 0.028 0.594 0.350
Ge 0.599 0.187 0.615
Ge 0.401 0.813 0.385
Ge 0.972 0.406 0.650
Ir 0.637 0.385 0.341
Ir 0.363 0.615 0.659

***

Entry 5:
A plane-wave DFT calculation with PBE was carried out for NpTlCuS3 after structural relaxation.

D(E_F) ... 9.72 states/eV/f.u.
SG ... No. 11
Formation energy from raw total energies ... -0.86 eV per atom
Total DFT energy (no corrections) ... -73.844 eV for the cell shown

Lattice parameters (Å, degrees): 3.955 8.802 9.079 108.21 90.00 90.00
Fractional coordinates of all 12 atoms:
S 0.750 0.199 0.536
S 0.750 0.876 0.139
S 0.750 0.464 0.153
S 0.250 0.124 0.861
S 0.250 0.801 0.464
S 0.250 0.536 0.847
Np 0.250 0.678 0.160
Np 0.750 0.322 0.840
Tl 0.250 0.200 0.241
Tl 0.750 0.800 0.759
Cu 0.750 0.921 0.405
Cu 0.250 0.079 0.595

***

Entry 6:
A plane-wave DFT calculation with PBE was carried out for RuPbI after structural relaxation.

D(E_F) ... 2.03 states/eV/f.u.
SG ... No. 1
Distance to the lowest polymorph of the same formula ... 93 meV per atom
Formation energy from raw total energies ... 0.30 eV per atom
Total DFT energy (no corrections) ... -27.283 eV for the cell shown

Lattice parameters (Å, degrees): 3.727 6.381 7.425 82.23 86.42 86.97
Fractional coordinates of all 6 atoms:
Pb 0.711 0.855 0.275
Pb 0.176 0.068 0.879
I 0.193 0.364 0.453
I 0.362 0.566 0.899
Ru 0.207 0.787 0.577
Ru 0.718 0.052 0.581

***

Entry 7:
A plane-wave DFT calculation with PBE was carried out for MoCSe2N after structural relaxation.

D(E_F) ... 1.97 states/eV/f.u.
SG ... No. 123
Distance to the lowest polymorph of the same formula ... 0 meV per atom
Formation energy from raw total energies ... 1.06 eV per atom
Total DFT energy (no corrections) ... -30.066 eV for the cell shown

Lattice parameters (Å, degrees): 5.628 5.628 2.508 90.00 90.00 90.00
Fractional coordinates of all 5 atoms:
C 0.000 0.000 0.000
N 0.000 0.000 0.500
Mo 0.500 0.500 0.500
Se 0.500 0.000 0.000
Se 0.000 0.500 0.000

***

Entry 8:
A plane-wave DFT calculation with PBE was carried out for Pr6PaSe12 after structural relaxation.

D(E_F) ... 12.71 states/eV/f.u.
SG ... No. 148
Formation energy from raw total energies ... -1.70 eV per atom
Total DFT energy (no corrections) ... -112.263 eV for the cell shown

Lattice parameters (Å, degrees): 8.494 8.494 8.494 98.97 98.97 98.97
Fractional coordinates of all 19 atoms:
Pr 0.693 0.862 0.365
Pr 0.862 0.365 0.693
Pr 0.138 0.635 0.307
Pr 0.365 0.693 0.862
Pr 0.635 0.307 0.138
Pr 0.307 0.138 0.635
Se 0.578 0.178 0.434
Se 0.030 0.678 0.933
Se 0.422 0.822 0.566
Se 0.678 0.933 0.030
Se 0.322 0.067 0.970
Se 0.933 0.030 0.678
Se 0.178 0.434 0.578
Se 0.822 0.566 0.422
Se 0.970 0.322 0.067
Se 0.434 0.578 0.178
Se 0.067 0.970 0.322
Se 0.566 0.422 0.822
Pa 0.000 0.000 0.000

***

Entry 9:
A plane-wave DFT calculation with PBE was carried out for SrCaCo2 after structural relaxation.

D(E_F) ... 11.73 states/eV/f.u.
Calculated formation energy ... 0.614 eV/atom
SG ... No. 123
Distance to the lowest polymorph of the same formula ... 406 meV per atom
Total DFT energy (no corrections) ... -15.439 eV for the cell shown

Lattice parameters (Å, degrees): 5.015 5.015 3.571 90.00 90.00 90.00
Fractional coordinates of all 4 atoms:
Co 0.000 0.000 0.000
Co 0.500 0.500 0.000
Ca 0.000 0.500 0.500
Sr 0.500 0.000 0.500

***

Entry 10:
A plane-wave DFT calculation with PBE was carried out for RbHfMgSi2 after structural relaxation.

D(E_F) ... 4.49 states/eV/f.u.
SG ... No. 123
Formation energy from raw total energies ... 2.02 eV per atom
Total DFT energy (no corrections) ... -13.244 eV for the cell shown

Lattice parameters (Å, degrees): 5.193 5.193 4.979 90.00 90.00 90.00
Fractional coordinates of all 5 atoms:
Hf 0.500 0.500 0.500
Si 0.000 0.500 0.000
Si 0.500 0.000 0.000
Rb 0.000 0.000 0.000
Mg 0.000 0.000 0.500

***

Entry 11:
A plane-wave DFT calculation with PBE was carried out for HfReP2 after structural relaxation.

D(E_F) ... 2.78 states/eV/f.u.
Calculated formation energy ... -0.110 eV/atom
SG ... No. 122
Distance to the lowest polymorph of the same formula ... 301 meV per atom
Total DFT energy (no corrections) ... -67.321 eV for the cell shown

Lattice parameters (Å, degrees): 5.085 5.085 7.344 69.75 69.75 90.00
Fractional coordinates of all 8 atoms:
Re 0.750 0.250 0.500
Re 0.000 0.000 0.000
P 0.076 0.625 0.250
P 0.875 0.924 0.750
P 0.674 0.125 0.250
P 0.375 0.326 0.750
Hf 0.500 0.500 0.000
Hf 0.250 0.750 0.500

***

Entry 12:
A plane-wave DFT calculation with PBE was carried out for CsZn2CdCl8 after structural relaxation.

D(E_F) ... 20.25 states/eV/f.u.
SG ... No. 148
Formation energy from raw total energies ... -1.11 eV per atom
Total DFT energy (no corrections) ... -32.412 eV for the cell shown

Lattice parameters (Å, degrees): 6.528 6.528 10.159 71.26 71.26 60.00
Fractional coordinates of all 12 atoms:
Cl 0.941 0.615 0.164
Cl 0.176 0.176 0.472
Cl 0.059 0.385 0.836
Cl 0.385 0.720 0.836
Cl 0.615 0.280 0.164
Cl 0.280 0.941 0.164
Cl 0.824 0.824 0.528
Cl 0.720 0.059 0.836
Zn 0.257 0.257 0.230
Zn 0.743 0.743 0.770
Cd 0.000 0.000 0.000
Cs 0.500 0.500 0.500

***

Entry 13:
A plane-wave DFT calculation with PBE was carried out for SrBi3Au8 after structural relaxation.

D(E_F) ... 3.51 states/eV/f.u.
Calculated formation energy ... -0.227 eV/atom
SG ... No. 156
Distance to the lowest polymorph of the same formula ... 13 meV per atom
Total DFT energy (no corrections) ... -42.264 eV for the cell shown

Lattice parameters (Å, degrees): 5.771 5.771 9.373 90.00 90.00 120.00
Fractional coordinates of all 12 atoms:
Au 0.164 0.329 0.253
Au 0.333 0.667 0.999
Au 0.671 0.836 0.253
Au 0.994 0.497 0.749
Au 0.164 0.836 0.253
Au 0.503 0.006 0.749
Au 0.333 0.667 0.502
Au 0.503 0.497 0.749
Bi 0.000 0.000 0.963
Bi 0.667 0.333 0.422
Bi 0.667 0.333 0.043
Sr 0.000 0.000 0.567

***

Entry 14:
A plane-wave DFT calculation with PBE was carried out for Th6AsS5 after structural relaxation.

D(E_F) ... 7.75 states/eV/f.u.
SG ... No. 12
Formation energy from raw total energies ... -1.77 eV per atom
Total DFT energy (no corrections) ... -91.014 eV for the cell shown

Lattice parameters (Å, degrees): 7.088 7.088 7.045 99.67 99.67 120.14
Fractional coordinates of all 12 atoms:
S 0.668 0.332 0.000
S 0.161 0.839 0.500
S 0.332 0.668 0.000
S 0.500 0.500 0.500
S 0.839 0.161 0.500
Th 0.915 0.575 0.745
Th 0.257 0.257 0.749
Th 0.575 0.915 0.745
Th 0.743 0.743 0.251
Th 0.425 0.085 0.255
Th 0.085 0.425 0.255
As 0.000 0.000 0.000

***

Entry 15:
A plane-wave DFT calculation with PBE was carried out for AlCu2NiS4 after structural relaxation.

D(E_F) ... 6.58 states/eV/f.u.
SG ... No. 121
Formation energy from raw total energies ... -0.50 eV per atom
Total DFT energy (no corrections) ... -38.226 eV for the cell shown

Lattice parameters (Å, degrees): 5.216 5.216 6.438 113.90 113.90 90.00
Fractional coordinates of all 8 atoms:
Al 0.500 0.500 0.000
S 0.878 0.368 0.246
S 0.632 0.632 0.754
S 0.368 0.878 0.246
S 0.122 0.122 0.754
Cu 0.250 0.750 0.500
Cu 0.750 0.250 0.500
Ni 0.000 0.000 0.000

***

Entry 16:
A plane-wave DFT calculation with PBE was carried out for NaLi4F5 after structural relaxation.

D(E_F) ... 0.00 states/eV/f.u.
SG ... No. 139
Formation energy from raw total energies ... -2.87 eV per atom
Total DFT energy (no corrections) ... -46.982 eV for the cell shown

Lattice parameters (Å, degrees): 3.022 3.022 10.674 98.14 98.14 90.00
Fractional coordinates of all 10 atoms:
F 0.108 0.108 0.217
F 0.703 0.703 0.405
F 0.297 0.297 0.595
F 0.500 0.500 0.000
F 0.892 0.892 0.783
Li 0.608 0.608 0.216
Li 0.392 0.392 0.784
Li 0.203 0.203 0.406
Li 0.797 0.797 0.594
Na 0.000 0.000 0.000

***

Entry 17:
A plane-wave DFT calculation with PBE was carried out for CaAs2Au4 after structural relaxation.

D(E_F) ... 2.01 states/eV/f.u.
Calculated formation energy ... -0.293 eV/atom
SG ... No. 14
Total DFT energy (no corrections) ... -52.926 eV for the cell shown

Lattice parameters (Å, degrees): 4.610 7.476 9.684 90.00 72.13 90.00
Fractional coordinates of all 14 atoms:
Au 0.563 0.811 0.466
Au 0.977 0.111 0.285
Au 0.937 0.311 0.034
Au 0.063 0.689 0.966
Au 0.023 0.889 0.715
Au 0.477 0.389 0.785
Au 0.523 0.611 0.215
Au 0.437 0.189 0.534
Ca 0.000 0.500 0.500
Ca 0.500 0.000 0.000
As 0.976 0.234 0.772
As 0.024 0.766 0.228
As 0.476 0.266 0.272
As 0.524 0.734 0.728

***

Entry 18:
A plane-wave DFT calculation with PBE was carried out for LiNd2Cd16 after structural relaxation.

D(E_F) ... 5.93 states/eV/f.u.
Calculated formation energy ... -0.175 eV/atom
SG ... No. 160
Total DFT energy (no corrections) ... -29.417 eV for the cell shown

Lattice parameters (Å, degrees): 7.659 7.659 7.659 82.14 82.14 82.14
Fractional coordinates of all 19 atoms:
Cd 0.000 0.702 0.294
Cd 0.000 0.294 0.702
Cd 0.529 0.978 0.978
Cd 0.351 0.861 0.351
Cd 0.106 0.106 0.106
Cd 0.632 0.180 0.632
Cd 0.978 0.978 0.529
Cd 0.978 0.529 0.978
Cd 0.294 0.000 0.702
Cd 0.632 0.632 0.180
Cd 0.702 0.294 0.000
Cd 0.351 0.351 0.861
Cd 0.702 0.000 0.294
Cd 0.861 0.351 0.351
Cd 0.294 0.702 0.000
Cd 0.180 0.632 0.632
Nd 0.333 0.333 0.333
Nd 0.663 0.663 0.663
Li 0.911 0.911 0.911

***

Entry 19:
A plane-wave DFT calculation with PBE was carried out for CsUInTe3 after structural relaxation.

D(E_F) ... 6.91 states/eV/f.u.
SG ... No. 11
Formation energy from raw total energies ... -0.70 eV per atom
Total DFT energy (no corrections) ... -57.005 eV for the cell shown

Lattice parameters (Å, degrees): 4.397 10.639 10.989 106.99 90.00 90.00
Fractional coordinates of all 12 atoms:
Te 0.250 0.690 0.441
Te 0.250 0.142 0.837
Te 0.750 0.858 0.163
Te 0.250 0.561 0.861
Te 0.750 0.439 0.139
Te 0.750 0.310 0.559
In 0.750 0.891 0.442
In 0.250 0.109 0.558
U 0.250 0.646 0.155
U 0.750 0.354 0.845
Cs 0.250 0.189 0.233
Cs 0.750 0.811 0.767

***

Entry 20:
A plane-wave DFT calculation with PBE was carried out for V2CoH2 after structural relaxation.

D(E_F) ... 4.45 states/eV/f.u.
SG ... No. 127
Distance to the lowest polymorph of the same formula ... 200 meV per atom
Total DFT energy (no corrections) ... -63.715 eV for the cell shown

Lattice parameters (Å, degrees): 5.649 5.649 2.581 90.00 90.00 90.00
Fractional coordinates of all 10 atoms:
V 0.845 0.345 0.500
V 0.345 0.155 0.500
V 0.155 0.655 0.500
V 0.655 0.845 0.500
H 0.637 0.137 0.000
H 0.863 0.637 0.000
H 0.137 0.363 0.000
H 0.363 0.863 0.000
Co 0.000 0.000 0.000
Co 0.500 0.500 0.000

***

no.,ρ (g cm⁻³)
1,7.08
2,12.86
3,10.20
4,14.68
5,6.65
6,8.28
7,5.85
8,5.72
9,4.54
10,4.26
11,8.56
12,3.15
13,14.07
14,9.38
15,3.94
16,2.53
17,10.22
18,7.95
19,5.87
20,6.56